10
Lattice="3.583 0.000 0.000 0.000 3.583 0.000 0.000 0.000 18.611" Properties=species:S:1:pos:R:3 comment="Ho4PuAg5 GGA-PBE relaxed" formation_energy_ev_per_atom=-0.241 final_energy_ev_per_cell=-49.31 spacegroup=P4/mmm magnetic_moment_mub_per_cell=5.73 pbc="T T T"
Ho 0.000 0.000 3.772
Ho 0.000 0.000 7.465
Ho 0.000 0.000 11.147
Ho 0.000 0.000 14.839
Pu 0.000 0.000 0.000
Ag 1.792 1.792 2.035
Ag 1.792 1.792 5.623
Ag 1.792 1.792 9.306
Ag 1.792 1.792 12.989
Ag 1.792 1.792 16.576

=====

5
Lattice="-2.102 4.761 -0.328 -1.952 -0.530 4.806 3.317 1.569 1.520" Properties=species:S:1:pos:R:3 comment="ZrNb2HgB GGA-PBE relaxed" formation_energy_ev_per_atom=1.588 final_energy_ev_per_cell=-27.73 spacegroup=P4/mmm magnetic_moment_mub_per_cell=0.00 pbc="T T T"
Nb -0.976 -0.265 2.403
Nb -1.051 2.380 -0.164
B 1.658 0.785 0.760
Hg 0.000 0.000 0.000
Zr -0.369 2.900 2.999

=====

5
Lattice="-3.156 -4.207 -0.441 2.759 -2.464 3.765 -3.207 2.021 3.672" Properties=species:S:1:pos:R:3 comment="TiSn3O GGA-PBE relaxed" final_energy_ev_per_cell=-21.93 spacegroup=Pm-3m polymorph_energy_mev_per_atom=744 magnetic_moment_mub_per_cell=1.85 formation_energy_uncorrected_mev_per_atom=585.9 pbc="T T T"
Sn 1.379 -1.232 1.882
Sn -1.604 1.010 1.836
Sn -1.578 -2.104 -0.221
O -1.802 -2.325 3.498
Ti 0.000 0.000 0.000